# 1
Density functional theory data (meta-GGA SCAN) for a crystal of Fe2SiO4 relaxed with PBEsol.

Properties
- D(E_F) (states/eV/atom) = 0.40
- energy relative to the lowest polymorph listed for this composition (eV per atom) = 0.000

abc: 8.1524 8.1524 8.1524
angles: 90.00 90.00 90.00
Closest atoms and distances in Å follow each position.
Space group Fd-3m (No. 227, origin choice 2)
Inequivalent atoms, fractional coordinates:
Fe1 0.0000 0.0000 0.0000 x16  6 O 2.10
Si1 0.1250 0.1250 0.6250 x8  4 O 1.65
O1 0.0079 0.0079 0.7421 x32  1 Si 1.65

***

# 2
Density functional theory data (meta-GGA SCAN) for a crystal of FeSiO3 relaxed with PBEsol.

Properties
- D(E_F) (states/eV/atom) = 0.08

abc: 5.2904 18.9555 8.7393
angles: 90.00 90.00 90.00
Closest atoms and distances in Å follow each position.
Space group Pbca (No. 61)
Inequivalent atoms, fractional coordinates:
Fe1 0.0864 0.1249 0.1748 x8  6 O 2.07-2.24
Fe2 0.0912 0.1228 0.4576 x8  4 O 1.94-1.99
Si1 0.0987 0.7201 0.6590 x8  4 O 1.62-1.64
Si2 0.2108 0.0333 0.8377 x8  4 O 1.62-1.65
O1 0.0764 0.5574 0.7104 x8  2 Si 1.64-1.65
O2 0.1077 0.6932 0.1611 x8  1 Si 1.64
O3 0.1199 0.6848 0.4903 x8  1 Si 1.62
O4 0.1571 0.1927 0.7567 x8  2 Si 1.63
O5 0.2099 0.5537 0.3382 x8  1 Si 1.65
O6 0.2139 0.5694 0.9997 x8  1 Si 1.62

***

# 3
Density functional theory data (meta-GGA SCAN) for a crystal of Fe4Si2Sn7O16 relaxed with PBEsol.

abc: 6.8113 6.8113 9.1433
angles: 90.00 90.00 120.00
Closest atoms and distances in Å follow each position.
Space group P-3m1 (No. 164)
Inequivalent atoms, fractional coordinates:
Fe1 0.0000 0.0000 0.0000 x1  6 Sn 2.43
Fe2 0.0000 0.5000 0.5000 x3  6 O 2.10-2.27
Si1 0.3333 0.6667 0.7623 x2  4 O 1.62-1.65
Sn1 0.0000 0.0000 0.5000 x1  6 O 2.13
Sn2 0.1647 0.3295 0.1601 x6  4 O 2.03-2.22
O1 0.0703 0.5351 0.8150 x6  1 Si 1.62
O2 0.1577 0.3155 0.3872 x6  2 Sn 2.08-2.13, 2 Fe 2.27
O3 0.3333 0.6667 0.1141 x2  3 Sn 2.03
O4 0.3333 0.6667 0.5820 x2  1 Si 1.65

***

# 4
Density functional theory data (meta-GGA SCAN) for a crystal of V2Fe3Si3O12 relaxed with PBEsol.

Properties
- D(E_F) (states/eV/atom) = 0.72

abc: 11.6581 11.6581 11.6581
angles: 90.00 90.00 90.00
Closest atoms and distances in Å follow each position.
Space group Ia-3d (No. 230)
Inequivalent atoms, fractional coordinates:
V1 0.0000 0.0000 0.0000 x16  6 O 1.98
Fe1 0.0000 0.2500 0.1250 x24  8 O 2.25-2.33
Si1 0.0000 0.2500 0.3750 x24  4 O 1.65
O1 0.0347 0.0554 0.6565 x96  1 Si 1.65

***

Number 1: calculated total energy -0.450 Ha/atom. Number 2: calculated total energy -0.430 Ha/atom. Number 3: calculated total energy -0.627 Ha/atom. Number 4: calculated total energy -0.443 Ha/atom.